# 1
Computed, not measured: LaGa2Sb2 after structural relaxation at the PBE level of DFT.

The space group is No. 139.

Lattice parameters (Å, degrees): 4.2702 4.2702 8.2219 74.95 74.95 90.00
Last column: nearest neighbours and their distance in Å.
Atoms (fractional coordinates):
Sb 0.4010 0.4010 0.1979  1 Sb 3.03, 4 Ga 3.15, 4 La 3.38
Sb 0.5990 0.5990 0.8021  1 Sb 3.03, 4 Ga 3.15, 4 La 3.38
Ga 0.7500 0.2500 0.5000  4 Ga 3.02, 4 Sb 3.15
Ga 0.2500 0.7500 0.5000  4 Ga 3.02, 4 Sb 3.15
La 0.0000 0.0000 0.0000  8 Sb 3.38

# 2
Computed, not measured: LaGa3Sb after structural relaxation at the PBE level of DFT.

The space group is No. 221.

Lattice parameters (Å, degrees): 5.6681 5.6681 5.6681 90.00 90.00 90.00
Last column: nearest neighbours and their distance in Å.
Atoms (fractional coordinates):
Sb 0.5000 0.5000 0.5000  12 Ga 4.01
Ga 0.0000 0.5000 0.0000  2 La 2.83
Ga 0.0000 0.0000 0.5000  2 La 2.83
Ga 0.5000 0.0000 0.0000  2 La 2.83
La 0.0000 0.0000 0.0000  6 Ga 2.83

Calculated energy relative to the elements, uncorrected in order - -1.924, 3.800 eV/f.u.
Calculated relative energy among the computed polymorphs in order - 0.17, 2.63 eV per formula unit